(1)
ZnCd3 PBE optimized geometry; calculated density = 7.74 Mg/m³; crystal system = trigonal; final energy = -0.90 eV per atom; magnetic moment = 0.00 Bohr magnetons per cell; V = 86.4 Å³/cell
1.0
-1.052 -4.789 2.619
2.043 -0.434 -5.152
2.117 4.078 3.128
Cd Zn
3 1
direct
0.000 0.000 0.000
0.000 0.500 0.500
0.500 0.500 0.000
0.500 0.000 0.500

(2)
ZnOsCl2 PBE optimized geometry; calculated density = 5.31 Mg/m³; crystal system = orthorhombic; E above lowest polymorph = 35.1 kJ/mol of atoms; final energy = -3.69 eV per atom; ΔE_f (raw) = 34.2 kJ/mol of atoms; magnetic moment = 1.99 Bohr magnetons per cell; V = 102.0 Å³/cell
1.0
-3.313 4.599 -2.137
-0.959 -2.181 -5.569
-1.037 -0.074 5.967
Zn Os Cl
1 1 2
direct
0.260 0.760 0.500
0.492 0.492 0.000
0.065 0.065 0.000
0.683 0.183 0.500